VASP calculation (PBE) on a relaxed structure of YEr2InN4.

Formation energy without anion corrections in eV per atom: -1.2317
V in Å³ per cell: 113.2
Electronic total energy in eV/f.u.: -61.483

```
data_YEr2InN4
_space_group_name_H-M_alt 'P 1'
_space_group_IT_number 1
_space_group_name_Hall 'P 1'
_cell_length_a 3.430
_cell_length_b 5.928
_cell_length_c 5.938
_cell_angle_alpha 110.33
_cell_angle_beta 90.00
_cell_angle_gamma 90.00
loop_
_atom_site_label
_atom_site_type_symbol
_atom_site_fract_x
_atom_site_fract_y
_atom_site_fract_z
_atom_site_occupancy
In1 In 0.000 0.000 0.000 1
N1 N 0.000 0.254 0.741 1
N2 N 0.500 0.250 0.253 1
N3 N 0.500 0.750 0.747 1
N4 N 0.000 0.746 0.259 1
Y1 Y 0.500 0.500 0.000 1
Er1 Er 0.000 0.500 0.500 1
Er2 Er 0.500 0.000 0.500 1
```


VASP calculation (PBE) on a relaxed structure of GdHoPb2.

Formation energy in kJ/mol of atoms: -41.86
V in Å³ per cell: 114.3
Electronic total energy in eV/f.u.: -27.811

```
data_GdHoPb2
_space_group_name_H-M_alt 'P 1'
_space_group_IT_number 1
_space_group_name_Hall 'P 1'
_cell_length_a 4.062
_cell_length_b 4.062
_cell_length_c 6.925
_cell_angle_alpha 90.00
_cell_angle_beta 90.00
_cell_angle_gamma 90.00
loop_
_atom_site_label
_atom_site_type_symbol
_atom_site_fract_x
_atom_site_fract_y
_atom_site_fract_z
_atom_site_occupancy
Ho1 Ho 0.500 0.500 0.500 1
Pb1 Pb 0.000 0.000 0.744 1
Pb2 Pb 0.000 0.000 0.256 1
Gd1 Gd 0.500 0.500 0.000 1
```


VASP calculation (PBE) on a relaxed structure of FeTc2Pt.

Excess energy over the best structure of this formula in the dataset in eV/atom: 0.073
Formation energy in kJ/mol of atoms: 1.40
V in Å³ per cell: 56.5
Electronic total energy in eV/f.u.: -35.178

```
data_FeTc2Pt
_space_group_name_H-M_alt 'P 1'
_space_group_IT_number 1
_space_group_name_Hall 'P 1'
_cell_length_a 4.769
_cell_length_b 4.769
_cell_length_c 2.671
_cell_angle_alpha 90.00
_cell_angle_beta 90.00
_cell_angle_gamma 111.56
loop_
_atom_site_label
_atom_site_type_symbol
_atom_site_fract_x
_atom_site_fract_y
_atom_site_fract_z
_atom_site_occupancy
Tc1 Tc 0.500 0.500 0.000 1
Tc2 Tc 0.000 0.000 0.000 1
Fe1 Fe 0.500 0.000 0.500 1
Pt1 Pt 0.000 0.500 0.500 1
```


VASP calculation (PBE) on a relaxed structure of ZrCoOs2.

Excess energy over the best structure of this formula in the dataset in eV/atom: 0.092
Formation energy in kJ/mol of atoms: 5.50
V in Å³ per cell: 60.3
Electronic total energy in eV/f.u.: -37.886

```
data_ZrCoOs2
_space_group_name_H-M_alt 'P 1'
_space_group_IT_number 1
_space_group_name_Hall 'P 1'
_cell_length_a 5.541
_cell_length_b 5.541
_cell_length_c 5.541
_cell_angle_alpha 151.14
_cell_angle_beta 132.33
_cell_angle_gamma 56.68
loop_
_atom_site_label
_atom_site_type_symbol
_atom_site_fract_x
_atom_site_fract_y
_atom_site_fract_z
_atom_site_occupancy
Zr1 Zr 0.750 0.250 0.500 1
Co1 Co 0.250 0.750 0.500 1
Os1 Os 0.467 0.467 0.000 1
Os2 Os 0.033 0.033 0.000 1
```


VASP calculation (PBE) on a relaxed structure of Li2CoWS.

Formation energy without anion corrections in eV per atom: 0.9032
V in Å³ per cell: 73.8
Electronic total energy in eV/f.u.: -23.498

```
data_Li2CoWS
_space_group_name_H-M_alt 'P 1'
_space_group_IT_number 1
_space_group_name_Hall 'P 1'
_cell_length_a 4.284
_cell_length_b 4.022
_cell_length_c 4.284
_cell_angle_alpha 90.00
_cell_angle_beta 90.00
_cell_angle_gamma 90.00
loop_
_atom_site_label
_atom_site_type_symbol
_atom_site_fract_x
_atom_site_fract_y
_atom_site_fract_z
_atom_site_occupancy
W1 W 0.500 0.500 0.500 1
S1 S 0.000 0.500 0.000 1
Li1 Li 0.500 0.000 0.000 1
Li2 Li 0.000 0.000 0.500 1
Co1 Co 0.000 0.000 0.000 1
```


VASP calculation (PBE) on a relaxed structure of Sc6Te5Pb.

Formation energy without anion corrections in eV per atom: -1.0003
V in Å³ per cell: 309.1
Electronic total energy in eV/f.u.: -69.410

```
data_Sc6Te5Pb
_space_group_name_H-M_alt 'P 1'
_space_group_IT_number 1
_space_group_name_Hall 'P 1'
_cell_length_a 7.246
_cell_length_b 7.229
_cell_length_c 7.225
_cell_angle_alpha 59.98
_cell_angle_beta 80.45
_cell_angle_gamma 70.63
loop_
_atom_site_label
_atom_site_type_symbol
_atom_site_fract_x
_atom_site_fract_y
_atom_site_fract_z
_atom_site_occupancy
Sc1 Sc 0.753 0.411 0.671 1
Te1 Te 0.000 0.666 0.667 1
Te2 Te 0.500 0.832 0.337 1
Sc2 Sc 0.753 0.082 0.329 1
Te3 Te 0.000 0.334 0.333 1
Pb1 Pb 0.000 0.000 0.000 1
Sc3 Sc 0.247 0.589 0.329 1
Sc4 Sc 0.247 0.918 0.671 1
Sc5 Sc 0.751 0.754 0.000 1
Te4 Te 0.500 0.168 0.663 1
Sc6 Sc 0.249 0.246 0.000 1
Te5 Te 0.500 0.500 0.000 1
```


VASP calculation (PBE) on a relaxed structure of TcRhPb2.

Excess energy over the best structure of this formula in the dataset in eV/atom: 0.159
Formation energy in kJ/mol of atoms: 40.70
V in Å³ per cell: 77.9
Electronic total energy in eV/f.u.: -23.447

```
data_TcRhPb2
_space_group_name_H-M_alt 'P 1'
_space_group_IT_number 1
_space_group_name_Hall 'P 1'
_cell_length_a 5.421
_cell_length_b 5.421
_cell_length_c 4.943
_cell_angle_alpha 71.18
_cell_angle_beta 71.18
_cell_angle_gamma 34.73
loop_
_atom_site_label
_atom_site_type_symbol
_atom_site_fract_x
_atom_site_fract_y
_atom_site_fract_z
_atom_site_occupancy
Tc1 Tc 0.236 0.236 0.187 1
Pb1 Pb 0.986 0.986 0.072 1
Pb2 Pb 0.762 0.762 0.682 1
Rh1 Rh 0.517 0.517 0.559 1
```


VASP calculation (PBE) on a relaxed structure of SrZnSi2.

Formation energy without anion corrections in eV per atom: -0.1176
V in Å³ per cell: 86.4
Electronic total energy in eV/f.u.: -14.272

```
data_SrZnSi2
_space_group_name_H-M_alt 'P 1'
_space_group_IT_number 1
_space_group_name_Hall 'P 1'
_cell_length_a 6.120
_cell_length_b 6.120
_cell_length_c 6.120
_cell_angle_alpha 40.28
_cell_angle_beta 40.28
_cell_angle_gamma 40.28
loop_
_atom_site_label
_atom_site_type_symbol
_atom_site_fract_x
_atom_site_fract_y
_atom_site_fract_z
_atom_site_occupancy
Sr1 Sr 0.250 0.250 0.250 1
Zn1 Zn 0.750 0.750 0.750 1
Si1 Si 0.041 0.041 0.041 1
Si2 Si 0.459 0.459 0.459 1
```


> Among the records above, which one has the highest electronic total energy?

SrZnSi2


Repeat the third record exactly.
VASP calculation (PBE) on a relaxed structure of FeTc2Pt.

Excess energy over the best structure of this formula in the dataset in eV/atom: 0.073
Formation energy in kJ/mol of atoms: 1.40
V in Å³ per cell: 56.5
Electronic total energy in eV/f.u.: -35.178

```
data_FeTc2Pt
_space_group_name_H-M_alt 'P 1'
_space_group_IT_number 1
_space_group_name_Hall 'P 1'
_cell_length_a 4.769
_cell_length_b 4.769
_cell_length_c 2.671
_cell_angle_alpha 90.00
_cell_angle_beta 90.00
_cell_angle_gamma 111.56
loop_
_atom_site_label
_atom_site_type_symbol
_atom_site_fract_x
_atom_site_fract_y
_atom_site_fract_z
_atom_site_occupancy
Tc1 Tc 0.500 0.500 0.000 1
Tc2 Tc 0.000 0.000 0.000 1
Fe1 Fe 0.500 0.000 0.500 1
Pt1 Pt 0.000 0.500 0.500 1
```